(1)
Density functional theory data (PBE-GGA) for crystalline MnSe at its relaxed geometry.

Values from the calculation:
Formation energy (no corrections)   -0.34 eV per atom

Lattice parameters (Å, degrees): 3.8615 3.8615 5.9610 90.00 90.00 120.00
With the nearest neighbours (Å) after each atom.
Element x y z (fractional)
Mn 0.0000 0.0000 0.0000  6 Se 2.68, 2 Mn 2.98
Mn 0.0000 0.0000 0.5000  6 Se 2.68, 2 Mn 2.98
Se 0.3333 0.6667 0.2500  6 Mn 2.68
Se 0.6667 0.3333 0.7500  6 Mn 2.68



(2)
Density functional theory data (PBE-GGA) for crystalline MgSeN3 at its relaxed geometry.

Values from the calculation:
Formation energy (no corrections)   1.38 eV per atom

Lattice parameters (Å, degrees): 3.7581 3.7581 3.7581 90.00 90.00 90.00
With the nearest neighbours (Å) after each atom.
Element x y z (fractional)
Mg 0.0000 0.0000 0.0000  12 N 2.66
Se 0.5000 0.5000 0.5000  6 N 1.88
N 0.0000 0.5000 0.5000  2 Se 1.88
N 0.5000 0.0000 0.5000  2 Se 1.88
N 0.5000 0.5000 0.0000  2 Se 1.88



(3)
Density functional theory data (PBE-GGA) for crystalline SrPmCuSi at its relaxed geometry.

Values from the calculation:
Formation energy (no corrections)   -0.25 eV per atom

Lattice parameters (Å, degrees): 5.2000 5.2000 5.2000 60.00 60.00 60.00
With the nearest neighbours (Å) after each atom.
Element x y z (fractional)
Sr 0.0000 0.0000 0.0000  4 Cu 3.18, 4 Si 3.18
Pm 0.5000 0.5000 0.5000  4 Cu 3.18, 4 Si 3.18
Cu 0.7500 0.7500 0.7500  4 Pm 3.18, 4 Sr 3.18
Si 0.2500 0.2500 0.2500  4 Pm 3.18, 4 Sr 3.18



(4)
Density functional theory data (PBE-GGA) for crystalline AcErPtO6 at its relaxed geometry.

Values from the calculation:
Formation energy (no corrections)   -2.04 eV per atom

Lattice parameters (Å, degrees): 5.5467 5.5467 5.3199 90.00 90.00 120.00
With the nearest neighbours (Å) after each atom.
Element x y z (fractional)
Ac 0.0000 0.0000 0.0000  6 O 2.52
Er 0.3333 0.6667 0.5000  6 O 2.23
Pt 0.6667 0.3333 0.5000  6 O 1.99
O 0.3774 0.0335 0.7130  1 Pt 1.99
O 0.3774 0.3438 0.2870  1 Pt 1.99
O 0.6562 0.0335 0.2870  1 Pt 1.99
O 0.6562 0.6226 0.7130  1 Pt 1.99
O 0.9665 0.3438 0.7130  1 Pt 1.99
O 0.9665 0.6226 0.2870  1 Pt 1.99



(5)
Density functional theory data (PBE-GGA) for crystalline KTi at its relaxed geometry.

Values from the calculation:
Energy relative to the elements   50.260 kcal/mol of atoms

Lattice parameters (Å, degrees): 6.0648 6.0648 6.0648 60.00 60.00 60.00
With the nearest neighbours (Å) after each atom.
Element x y z (fractional)
K 0.0000 0.0000 0.0000  4 Ti 3.71
Ti 0.7500 0.7500 0.7500  4 K 3.71



(6)
Density functional theory data (PBE-GGA) for crystalline Sr2NiSn3Pt4 at its relaxed geometry.

Values from the calculation:
Energy relative to the elements   -15.099 kcal/mol of atoms

Lattice parameters (Å, degrees): 4.4504 4.4504 11.2635 90.00 90.00 90.00
With the nearest neighbours (Å) after each atom.
Element x y z (fractional)
Sr 0.0000 0.5000 0.2385  8 Pt 3.38-3.69, 6 Sn 3.46-3.49, 2 Ni 3.49
Sr 0.5000 0.0000 0.7615  8 Pt 3.38-3.69, 6 Sn 3.46-3.49, 2 Ni 3.49
Ni 0.5000 0.5000 0.0000  4 Pt 2.66
Sn 0.0000 0.0000 0.0000  4 Pt 2.66
Sn 0.0000 0.5000 0.6343  5 Pt 2.66-2.69
Sn 0.5000 0.0000 0.3657  5 Pt 2.66-2.69
Pt 0.0000 0.0000 0.5000  4 Sn 2.69
Pt 0.0000 0.5000 0.8703  3 Sn 2.66, 2 Ni 2.66
Pt 0.5000 0.0000 0.1297  3 Sn 2.66, 2 Ni 2.66
Pt 0.5000 0.5000 0.5000  4 Sn 2.69



(7)
Density functional theory data (PBE-GGA) for crystalline SrYBr2 at its relaxed geometry.

Values from the calculation:
Formation energy (no corrections)   -1.09 eV per atom

Lattice parameters (Å, degrees): 5.1573 5.1573 6.6868 102.65 102.65 43.25
With the nearest neighbours (Å) after each atom.
Element x y z (fractional)
Sr 0.0000 0.0000 0.0000  6 Br 3.29-3.32
Y 0.5000 0.5000 0.5000  6 Br 3.09-3.18
Br 0.2415 0.2415 0.7234  3 Y 3.09-3.18, 3 Sr 3.29-3.32
Br 0.7585 0.7585 0.2766  3 Y 3.09-3.18, 3 Sr 3.29-3.32



(8)
Density functional theory data (PBE-GGA) for crystalline NdHo7Al4 at its relaxed geometry.

Values from the calculation:
Energy relative to the elements   -1.248 kcal/mol of atoms

Lattice parameters (Å, degrees): 7.4480 7.4480 10.4065 121.80 121.80 43.28
With the nearest neighbours (Å) after each atom.
Element x y z (fractional)
Nd 0.0000 0.0000 0.0000  2 Ho 2.75
Ho 0.0659 0.0659 0.3909  5 Al 3.06-3.37, 1 Ho 3.23
Ho 0.2125 0.2125 0.8762  6 Ho 3.23-3.61, 4 Al 3.28-3.29
Ho 0.2987 0.2987 0.3568  4 Al 2.93-3.15
Ho 0.5000 0.5000 0.0000  2 Nd 2.75, 4 Al 2.89-2.96
Ho 0.7013 0.7013 0.6432  4 Al 2.93-3.15
Ho 0.7875 0.7875 0.1238  6 Ho 3.23-3.61, 4 Al 3.28-3.29
Ho 0.9341 0.9341 0.6091  5 Al 3.06-3.37, 1 Ho 3.23
Al 0.3227 0.3227 0.6681  1 Al 2.77, 3 Ho 2.89-3.06
Al 0.4454 0.4454 0.2369  1 Al 2.77, 2 Ho 2.93-2.96
Al 0.5546 0.5546 0.7631  1 Al 2.77, 2 Ho 2.93-2.96
Al 0.6773 0.6773 0.3319  1 Al 2.77, 3 Ho 2.89-3.06